Density functional theory data (GGA-PBE) for KGaP after structural relaxation.

## Properties
VASP energy	-41.89	eV/cell
DFT formation energy	-313	meV per atom

Structure (CIF):
```
data_KGaP
_cell_length_a 7.513
_cell_length_b 3.937
_cell_length_c 11.016
_cell_angle_alpha 90.00
_cell_angle_beta 90.00
_cell_angle_gamma 90.00
_space_group_name_H-M_alt 'P n m a'
_space_group_IT_number 62
loop_
_space_group_symop_operation_xyz
'x,y,z'
'-x,-y,-z'
'-x+1/2,-y,z+1/2'
'x+1/2,y,-z+1/2'
'x+1/2,-y+1/2,-z+1/2'
'-x+1/2,y+1/2,z+1/2'
'-x,y+1/2,-z'
'x,-y+1/2,z'
loop_
_atom_site_label
_atom_site_fract_x
_atom_site_fract_y
_atom_site_fract_z
K1 0.008 0.250 0.192
Ga1 0.136 0.250 0.556
P1 0.190 0.750 0.430
```